[1]
Crystalline TlCuMo4C2 at its relaxed geometry. Source: OQMD via LeMat-Bulk, functional PBE-GGA.

POSCAR file:
```
TlCuMo4C2
1.0
3.1264 0.0000 0.0000
-1.5632 2.7076 0.0000
0.0000 0.0000 13.4075
Tl Cu Mo C
1 1 4 2
Cartesian
0.0000 0.0000 0.0000
0.0000 1.8050 6.7038
0.0000 0.0000 4.6752
0.0000 0.0000 8.7323
0.0000 1.8050 2.4527
0.0000 1.8050 10.9548
1.5632 0.9025 3.5639
1.5632 0.9025 9.8437
```

## Properties
Total energy: -8.3069 eV/atom
Size of the total moment: 0.0 μB/f.u.
Space-group type: P-6m2

[2]
Crystalline TbPrNi2B2N2 at its relaxed geometry. Source: OQMD via LeMat-Bulk, functional PBE-GGA.

POSCAR file:
```
TbPrNi2B2N2
1.0
3.5910 0.0000 0.0000
0.0000 3.5910 0.0000
0.0000 0.0000 7.5385
Tb Pr Ni B N
1 1 2 2 2
Cartesian
0.0000 0.0000 0.0000
1.7955 1.7955 2.5666
0.0000 1.7955 5.0619
1.7955 0.0000 5.0619
0.0000 0.0000 3.8649
1.7955 1.7955 6.1991
0.0000 0.0000 2.4001
1.7955 1.7955 0.1087
```

## Properties
Total energy: -7.3140 eV/atom
Size of the total moment: 0.0 μB/f.u.
Space-group type: P4mm

[3]
Crystalline SrYAgSe3 at its relaxed geometry. Source: OQMD via LeMat-Bulk, functional PBE-GGA.

POSCAR file:
```
SrYAgSe3
1.0
7.9675 0.0000 0.0000
0.0000 4.1436 0.0000
-2.7852 0.0000 9.5801
Sr Y Ag Se
2 2 2 6
Cartesian
1.4138 1.0359 2.0017
3.7685 3.1077 7.5783
-0.3018 3.1077 6.3020
5.4841 1.0359 3.2781
0.7277 1.0359 8.6959
4.4546 3.1077 0.8842
-0.4632 3.1077 3.4364
-0.9713 3.1077 9.1671
1.6933 1.0359 6.2478
3.4890 3.1077 3.3323
6.1536 1.0359 0.4130
5.6455 1.0359 6.1437
```

## Properties
Total energy: -5.0895 eV/atom
Size of the total moment: 0.0 μB/f.u.
Space-group type: P2_1/m

[4]
Crystalline MgHgSO at its relaxed geometry. Source: OQMD via LeMat-Bulk, functional PBE-GGA.

POSCAR file:
```
MgHgSO
1.0
1.7391 -6.9514 0.0000
1.7391 6.9514 0.0000
0.0000 0.0000 5.8894
Mg Hg S O
2 2 2 2
Cartesian
1.7391 4.7197 2.9447
1.7391 -4.7197 0.0000
1.7391 0.8850 3.0816
1.7391 -0.8850 0.1369
1.7391 4.2798 5.4273
1.7391 -4.2798 2.4826
1.7391 1.2549 5.5728
1.7391 -1.2549 2.6281
```

## Properties
Offset from the most stable computed form: 200.2 meV/atom
Space-group type: Cmc2_1

[5]
Crystalline Dy2ErTmPt4 at its relaxed geometry. Source: OQMD via LeMat-Bulk, functional PBE-GGA.

POSCAR file:
```
Dy2ErTmPt4
1.0
4.8823 0.0000 0.0000
0.0000 4.8823 0.0000
0.0000 0.0000 6.9075
Dy Er Tm Pt
2 1 1 4
Cartesian
0.0000 0.0000 0.0000
2.4411 2.4411 3.4537
0.0000 0.0000 3.4537
2.4411 2.4411 0.0000
0.0000 2.4411 1.7246
0.0000 2.4411 5.1829
2.4411 0.0000 1.7246
2.4411 0.0000 5.1829
```

## Properties
Total energy: -6.5465 eV/atom
Size of the total moment: 0.0 μB/f.u.
Space-group type: P4/mmm

[6]
Crystalline TaCo at its relaxed geometry. Source: OQMD via LeMat-Bulk, functional PBE-GGA.

POSCAR file:
```
TaCo
1.0
5.0018 0.0000 0.0000
-2.5009 4.3317 0.0000
0.0000 0.0000 7.7936
Ta Co
6 6
Cartesian
0.0000 0.0000 0.0000
0.0000 0.0000 3.8968
0.0000 2.8878 0.4990
0.0000 2.8878 3.3978
2.5009 1.4439 4.3959
2.5009 1.4439 7.2946
0.0000 1.5356 5.8452
-1.1711 3.5639 5.8452
1.3298 0.7678 1.9484
1.1711 3.5639 5.8452
3.6720 0.7678 1.9484
2.5009 2.7962 1.9484
```

## Properties
Total energy: -9.6955 eV/atom
Size of the total moment: 0.0 μB/f.u.
Space-group type: P6_3/mmc

[7]
Crystalline Zr5NiSn3 at its relaxed geometry. Source: OQMD via LeMat-Bulk, functional PBE-GGA.

POSCAR file:
```
Zr5NiSn3
1.0
8.6697 0.0000 0.0000
-4.3348 7.5081 0.0000
0.0000 0.0000 5.8753
Zr Ni Sn
10 2 6
Cartesian
-1.1013 1.9076 1.4688
-3.2335 5.6005 4.4064
2.2027 0.0000 1.4688
1.1013 1.9076 4.4064
0.0000 5.0054 0.0000
0.0000 5.0054 2.9376
4.3348 2.5027 0.0000
4.3348 2.5027 2.9376
6.4670 0.0000 4.4064
3.2335 5.6005 1.4688
0.0000 0.0000 0.0000
0.0000 0.0000 2.9376
-1.6968 2.9389 4.4064
-2.6381 4.5693 1.4688
3.3935 0.0000 4.4064
1.6968 2.9389 1.4688
5.2761 0.0000 1.4688
2.6381 4.5693 4.4064
```

## Properties
Total energy: -7.2714 eV/atom
Size of the total moment: 0.0 μB/f.u.
Space-group type: P6_3/mcm

[8]
Crystalline DyAgPbSe3 at its relaxed geometry. Source: OQMD via LeMat-Bulk, functional PBE-GGA.

POSCAR file:
```
DyAgPbSe3
1.0
7.8224 0.0000 0.0000
0.0000 4.1352 0.0000
-2.7853 0.0000 9.7066
Dy Ag Pb Se
2 2 2 6
Cartesian
1.0766 1.0338 1.5479
3.9606 3.1014 8.1586
2.0683 3.1014 3.9491
2.9689 1.0338 5.7575
-0.0857 3.1014 6.8019
5.1229 1.0338 2.9047
-1.8468 1.0338 8.3849
0.3535 1.0338 4.4134
3.0604 3.1014 1.5185
1.9768 1.0338 8.1881
4.6837 3.1014 5.2932
6.8840 3.1014 1.3217
```

## Properties
Size of the total moment: 0.0 μB/f.u.
Offset from the most stable computed form: 0.0 meV/atom
Space-group type: P2_1/m

[9]
Crystalline TlFeTcMo at its relaxed geometry. Source: OQMD via LeMat-Bulk, functional PBE-GGA.

POSCAR file:
```
TlFeTcMo
1.0
0.0000 3.1720 3.1720
3.1720 0.0000 3.1720
3.1720 3.1720 0.0000
Tl Fe Tc Mo
1 1 1 1
Cartesian
0.0000 0.0000 0.0000
1.5860 1.5860 1.5860
4.7581 4.7581 4.7581
3.1720 3.1720 3.1720
```

## Properties
Size of the total moment: 2.1 μB/f.u.
Offset from the most stable computed form: 0.0 meV/atom
Space-group type: F-43m

[10]
Crystalline Co5Re at its relaxed geometry. Source: OQMD via LeMat-Bulk, functional PBE-GGA.

POSCAR file:
```
Co5Re
1.0
2.3062 -4.1882 0.0000
2.3062 4.1882 0.0000
0.0000 0.0000 7.4093
Co Re
10 2
Cartesian
0.0000 0.0000 0.0000
0.0000 0.0000 3.7047
1.1896 0.6543 1.8523
2.3062 1.4913 4.2587
2.3062 1.4913 6.8553
1.1896 -0.6543 5.5570
3.4228 0.6543 1.8523
2.3062 -1.4913 0.5540
2.3062 -1.4913 3.1507
3.4228 -0.6543 5.5570
2.3062 2.6612 1.8523
2.3062 -2.6612 5.5570
```

## Properties
Size of the total moment: 5.7 μB/f.u.
Offset from the most stable computed form: 166.7 meV/atom
Space-group type: Cmcm

[11]
Crystalline Ba2YZr at its relaxed geometry. Source: OQMD via LeMat-Bulk, functional PBE-GGA.

POSCAR file:
```
Ba2YZr
1.0
0.0000 4.2476 4.2476
4.2476 0.0000 4.2476
4.2476 4.2476 0.0000
Ba Y Zr
2 1 1
Cartesian
0.0000 0.0000 0.0000
2.1238 2.1238 2.1238
4.2476 4.2476 4.2476
6.3714 6.3714 6.3714
```

## Properties
Total energy: -4.1566 eV/atom
Size of the total moment: 2.4 μB/f.u.
Space-group type: F-43m

[12]
Crystalline LaNdNi2Sn at its relaxed geometry. Source: OQMD via LeMat-Bulk, functional PBE-GGA.

POSCAR file:
```
LaNdNi2Sn
1.0
-2.1802 2.8928 4.3351
2.1802 -2.8928 4.3351
2.1802 2.8928 -4.3351
La Nd Ni Sn
1 1 2 1
Cartesian
0.0000 0.0000 0.0000
0.0000 0.0000 5.1384
2.1802 1.2205 -1.7686
0.0000 1.6723 2.5665
2.1802 0.0000 2.5711
```

## Properties
Total energy: -5.5066 eV/atom
Size of the total moment: 0.0 μB/f.u.
Space-group type: Imm2